The following is a DFT calculation (PBE) of DyTmTlBi after structural relaxation.

a b c (Å): 5.419 5.419 5.419
angles (deg): 60.00 60.00 60.00
Fractional positions:
Dy 0.000 0.000 0.000
Tm 0.500 0.500 0.500
Tl 0.750 0.750 0.750
Bi 0.250 0.250 0.250

Computed properties:
Symmetry   F-43m, No. 216

The following is a DFT calculation (PBE) of Dy4Tm3Bi4 after structural relaxation.

a b c (Å): 11.565 6.606 6.606
angles (deg): 41.65 90.00 90.00
Fractional positions:
Dy 0.000 0.000 0.000
Dy 0.249 0.474 0.474
Dy 0.500 0.058 0.058
Dy 0.751 0.474 0.474
Tm 0.000 0.698 0.698
Tm 0.346 0.768 0.768
Tm 0.654 0.768 0.768
Bi 0.000 0.355 0.355
Bi 0.223 0.147 0.147
Bi 0.500 0.363 0.363
Bi 0.777 0.147 0.147

Computed properties:
Symmetry   Amm2, No. 38

The following is a DFT calculation (PBE) of DyTmBi2 after structural relaxation.

a b c (Å): 4.452 4.452 7.708
angles (deg): 106.85 106.85 60.07
Fractional positions:
Dy 0.000 0.000 0.000
Tm 0.500 0.500 0.500
Bi 0.249 0.249 0.747
Bi 0.751 0.751 0.253

Computed properties:
ΔE to the lowest computed polymorph   0.0013 eV per atom
Symmetry   C2/m, No. 12

The following is a DFT calculation (PBE) of DyTm2Bi after structural relaxation.

a b c (Å): 4.824 4.824 4.837
angles (deg): 90.00 90.00 90.00
Fractional positions:
Dy 0.000 0.000 0.000
Tm 0.000 0.500 0.500
Tm 0.500 0.000 0.500
Bi 0.500 0.500 0.000

Computed properties:
ΔE to the lowest computed polymorph   0.1137 eV per atom
Symmetry   P4/mmm, No. 123

The following is a DFT calculation (PBE) of Dy5Tm2Bi4 after structural relaxation.

a b c (Å): 11.637 11.637 8.597
angles (deg): 95.24 95.24 17.09
Fractional positions:
Dy 0.000 0.000 0.000
Dy 0.314 0.314 0.548
Dy 0.423 0.423 0.301
Dy 0.577 0.577 0.699
Dy 0.686 0.686 0.452
Tm 0.347 0.347 0.951
Tm 0.653 0.653 0.049
Bi 0.210 0.210 0.777
Bi 0.441 0.441 0.689
Bi 0.559 0.559 0.311
Bi 0.790 0.790 0.223

Computed properties:
Symmetry   C2/m, No. 12

The following is a DFT calculation (PBE) of Dy3TmBi4 after structural relaxation.

a b c (Å): 7.728 7.728 4.465
angles (deg): 90.00 90.00 109.47
Fractional positions:
Dy 0.000 0.000 0.000
Dy 0.000 0.500 0.500
Dy 0.500 0.000 0.500
Tm 0.500 0.500 0.000
Bi 0.251 0.749 0.000
Bi 0.252 0.252 0.500
Bi 0.748 0.748 0.500
Bi 0.749 0.251 0.000

Computed properties:
ΔE to the lowest computed polymorph   0.0054 eV per atom
Symmetry   Cmmm, No. 65

The following is a DFT calculation (PBE) of DyTm3Bi3 after structural relaxation.

a b c (Å): 8.121 8.121 8.121
angles (deg): 67.33 67.33 67.33
Fractional positions:
Dy 0.166 0.166 0.166
Dy 0.834 0.834 0.834
Tm 0.168 0.419 0.672
Tm 0.328 0.832 0.581
Tm 0.419 0.672 0.168
Tm 0.581 0.328 0.832
Tm 0.672 0.168 0.419
Tm 0.832 0.581 0.328
Bi 0.021 0.805 0.415
Bi 0.195 0.585 0.979
Bi 0.415 0.021 0.805
Bi 0.585 0.979 0.195
Bi 0.805 0.415 0.021
Bi 0.979 0.195 0.585

Computed properties:
ΔE to the lowest computed polymorph   0.0627 eV per atom
Symmetry   R-3, No. 148

The following is a DFT calculation (PBE) of Dy5Tm3Bi8 after structural relaxation.

a b c (Å): 8.915 8.915 8.915
angles (deg): 60.01 60.01 60.01
Fractional positions:
Dy 0.000 0.000 0.000
Dy 0.000 0.500 0.500
Dy 0.500 0.000 0.500
Dy 0.500 0.500 0.000
Dy 0.500 0.500 0.500
Tm 0.000 0.000 0.500
Tm 0.000 0.500 0.000
Tm 0.500 0.000 0.000
Bi 0.248 0.750 0.750
Bi 0.249 0.249 0.249
Bi 0.250 0.250 0.752
Bi 0.250 0.752 0.250
Bi 0.750 0.248 0.750
Bi 0.750 0.750 0.248
Bi 0.751 0.751 0.751
Bi 0.752 0.250 0.250

Computed properties:
Symmetry   R-3m, No. 166

The following is a DFT calculation (PBE) of DyTmBi after structural relaxation.

a b c (Å): 6.346 6.346 8.325
angles (deg): 116.04 116.04 37.84
Fractional positions:
Dy 0.059 0.059 0.328
Dy 0.941 0.941 0.672
Tm 0.350 0.350 0.948
Tm 0.650 0.650 0.052
Bi 0.337 0.337 0.328
Bi 0.663 0.663 0.672

Computed properties:
Symmetry   C2/m, No. 12

The following is a DFT calculation (PBE) of DyTm3Bi4 after structural relaxation.

a b c (Å): 6.277 6.277 6.277
angles (deg): 90.00 90.00 90.00
Fractional positions:
Dy 0.000 0.000 0.000
Tm 0.000 0.500 0.500
Tm 0.500 0.000 0.500
Tm 0.500 0.500 0.000
Bi 0.000 0.000 0.500
Bi 0.000 0.500 0.000
Bi 0.500 0.000 0.000
Bi 0.500 0.500 0.500

Computed properties:
ΔE to the lowest computed polymorph   0.0000 eV per atom
Symmetry   Pm-3m, No. 221

The following is a DFT calculation (PBE) of Dy4Tm3Bi8 after structural relaxation.

a b c (Å): 8.864 8.864 8.856
angles (deg): 119.94 119.94 90.03
Fractional positions:
Dy 0.000 0.000 0.000
Dy 0.000 0.500 0.000
Dy 0.500 0.000 0.000
Dy 0.500 0.500 0.500
Tm 0.000 0.500 0.500
Tm 0.500 0.000 0.500
Tm 0.500 0.500 0.000
Bi 0.244 0.756 0.500
Bi 0.246 0.246 0.503
Bi 0.246 0.246 0.989
Bi 0.251 0.749 0.000
Bi 0.749 0.251 0.000
Bi 0.754 0.754 0.011
Bi 0.754 0.754 0.497
Bi 0.756 0.244 0.500

Computed properties:
Symmetry   C2/m, No. 12

The following is a DFT calculation (PBE) of DyTm3Bi2 after structural relaxation.

a b c (Å): 9.439 9.439 9.924
angles (deg): 112.77 112.77 26.17
Fractional positions:
Dy 0.111 0.111 0.109
Dy 0.889 0.889 0.891
Tm 0.056 0.056 0.669
Tm 0.312 0.312 0.110
Tm 0.362 0.362 0.520
Tm 0.638 0.638 0.480
Tm 0.688 0.688 0.890
Tm 0.944 0.944 0.331
Bi 0.252 0.252 0.714
Bi 0.491 0.491 0.158
Bi 0.509 0.509 0.842
Bi 0.748 0.748 0.286

Computed properties:
Symmetry   C2/m, No. 12

The following is a DFT calculation (PBE) of DyTm2Bi after structural relaxation.

a b c (Å): 4.011 4.011 7.285
angles (deg): 90.00 90.00 90.00
Fractional positions:
Dy 0.000 0.000 0.000
Tm 0.500 0.500 0.267
Tm 0.500 0.500 0.733
Bi 0.000 0.000 0.500

Computed properties:
ΔE to the lowest computed polymorph   0.1001 eV per atom
Symmetry   P4/mmm, No. 123

The following is a DFT calculation (PBE) of Dy2TmBi after structural relaxation.

a b c (Å): 4.640 4.593 11.463
angles (deg): 90.00 101.68 90.00
Fractional positions:
Dy 0.060 0.250 0.120
Dy 0.438 0.250 0.876
Dy 0.562 0.750 0.124
Dy 0.940 0.750 0.880
Tm 0.311 0.750 0.622
Tm 0.689 0.250 0.378
Bi 0.172 0.750 0.343
Bi 0.828 0.250 0.657

Computed properties:
ΔE to the lowest computed polymorph   0.0000 eV per atom
Symmetry   P2_1/m, No. 11

The following is a DFT calculation (PBE) of DyTm4Bi2 after structural relaxation.

a b c (Å): 9.072 9.072 9.072
angles (deg): 146.08 146.08 48.73
Fractional positions:
Dy 0.000 0.000 0.000
Tm 0.000 0.500 0.500
Tm 0.181 0.181 0.000
Tm 0.500 0.000 0.500
Tm 0.819 0.819 0.000
Bi 0.365 0.365 0.000
Bi 0.635 0.635 0.000

Computed properties:
Symmetry   I4/mmm, No. 139

The following is a DFT calculation (PBE) of DyTm3Bi4 after structural relaxation.

a b c (Å): 7.691 7.691 4.445
angles (deg): 90.00 90.00 109.47
Fractional positions:
Dy 0.000 0.000 0.000
Tm 0.000 0.500 0.500
Tm 0.500 0.000 0.500
Tm 0.500 0.500 0.000
Bi 0.251 0.749 0.000
Bi 0.252 0.252 0.500
Bi 0.748 0.748 0.500
Bi 0.749 0.251 0.000

Computed properties:
ΔE to the lowest computed polymorph   0.0050 eV per atom
Symmetry   Cmmm, No. 65

The following is a DFT calculation (PBE) of DyTm4Bi3 after structural relaxation.

a b c (Å): 8.433 8.433 11.133
angles (deg): 120.40 120.40 29.79
Fractional positions:
Dy 0.000 0.000 0.000
Tm 0.037 0.037 0.335
Tm 0.281 0.281 0.415
Tm 0.719 0.719 0.585
Tm 0.963 0.963 0.665
Bi 0.373 0.373 0.774
Bi 0.500 0.500 0.500
Bi 0.627 0.627 0.226

Computed properties:
Symmetry   C2/m, No. 12

The following is a DFT calculation (PBE) of Dy3TmBi3 after structural relaxation.

a b c (Å): 8.167 8.167 8.167
angles (deg): 67.25 67.25 67.25
Fractional positions:
Dy 0.083 0.335 0.827
Dy 0.173 0.917 0.665
Dy 0.335 0.827 0.083
Dy 0.665 0.173 0.917
Dy 0.827 0.083 0.335
Dy 0.917 0.665 0.173
Tm 0.333 0.333 0.333
Tm 0.667 0.667 0.667
Bi 0.082 0.692 0.479
Bi 0.308 0.521 0.918
Bi 0.479 0.082 0.692
Bi 0.521 0.918 0.308
Bi 0.692 0.479 0.082
Bi 0.918 0.308 0.521

Computed properties:
ΔE to the lowest computed polymorph   0.0703 eV per atom
Symmetry   R-3, No. 148

The following is a DFT calculation (PBE) of Dy5TmBi6 after structural relaxation.

a b c (Å): 7.736 7.736 7.735
angles (deg): 99.60 99.60 120.00
Fractional positions:
Dy 0.000 0.000 0.000
Dy 0.166 0.834 0.500
Dy 0.332 0.668 0.000
Dy 0.668 0.332 0.000
Dy 0.834 0.166 0.500
Tm 0.500 0.500 0.500
Bi 0.086 0.417 0.251
Bi 0.252 0.252 0.749
Bi 0.417 0.086 0.251
Bi 0.583 0.914 0.749
Bi 0.748 0.748 0.251
Bi 0.914 0.583 0.749

Computed properties:
Symmetry   C2/m, No. 12

The following is a DFT calculation (PBE) of DyTm4Bi5 after structural relaxation.

a b c (Å): 11.742 11.742 11.742
angles (deg): 158.21 149.01 38.21
Fractional positions:
Dy 0.000 0.000 0.000
Tm 0.201 0.201 0.000
Tm 0.400 0.400 0.000
Tm 0.600 0.600 0.000
Tm 0.799 0.799 0.000
Bi 0.101 0.601 0.500
Bi 0.300 0.800 0.500
Bi 0.500 0.000 0.500
Bi 0.700 0.200 0.500
Bi 0.899 0.399 0.500

Computed properties:
Symmetry   Immm, No. 71

no.,V (Å³ per atom),formation energy from the elements (eV per atom)
1,28.1,-0.37
2,30.5,-0.44
3,31.2,-0.82
4,28.1,-0.30
5,31.0,-0.26
6,31.4,-0.84
7,31.3,-0.60
8,31.3,-0.83
9,30.4,-0.46
10,30.9,-0.81
11,32.9,-0.65
12,29.8,-0.44
13,29.3,-0.31
14,29.9,-0.38
15,33.1,0.39
16,31.0,-0.80
17,41.9,-0.24
18,31.8,-0.63
19,31.5,-0.85
20,30.9,-0.80